VASP calculation (PBE) on crystalline KVGePt2 at its relaxed geometry.

* raw total energy: -3.40 eV per atom
* space group: No. 123
* Fermi-level density of states: 0.76 states/eV per atom
* formation enthalpy at 0 K: 1.988 eV per atom
* total magnetization: 0.740 μB/atom
* excess energy over the best structure of this formula in the dataset: 1616 meV per atom

abc: 5.1096 4.6017 5.1096
angles: 90.00 90.00 90.00
Fractional coordinates of all 5 atoms:
Ge: 0.5000 0.5000 0.5000
K: 0.0000 0.0000 0.0000
Pt: 0.0000 0.0000 0.5000
Pt: 0.5000 0.0000 0.0000
V: 0.0000 0.5000 0.0000